Record 1
# GGA-PBE Cs2RbZnGe2, relaxed
data_Cs2RbZnGe2
_symmetry_space_group_name_H-M 'P 1'
_symmetry_Int_Tables_number 1
_cell_length_a 7.068
_cell_length_b 7.068
_cell_length_c 8.890
_cell_angle_alpha 93.74
_cell_angle_beta 93.74
_cell_angle_gamma 34.09
loop_
_symmetry_equiv_pos_as_xyz
'x,y,z'
loop_
_atom_site_label
_atom_site_fract_x
_atom_site_fract_y
_atom_site_fract_z
_atom_site_occupancy
Cs1 0.000 0.000 0.000 1
Cs2 0.031 0.031 0.578 1
Rb1 0.766 0.766 0.339 1
Zn1 0.273 0.273 0.996 1
Ge1 0.321 0.321 0.691 1
Ge2 0.729 0.729 0.790 1
# space-group type	Cm (8)
# energy of formation	0.013	eV per formula unit
# excess energy over the best structure of this formula in the dataset	30	meV per atom

---

Record 2
# GGA-PBE Na3AsP2, relaxed
data_Na3AsP2
_symmetry_space_group_name_H-M 'P 1'
_symmetry_Int_Tables_number 1
_cell_length_a 7.616
_cell_length_b 9.571
_cell_length_c 9.760
_cell_angle_alpha 90.00
_cell_angle_beta 119.48
_cell_angle_gamma 90.00
loop_
_symmetry_equiv_pos_as_xyz
'x,y,z'
loop_
_atom_site_label
_atom_site_fract_x
_atom_site_fract_y
_atom_site_fract_z
_atom_site_occupancy
Na1 0.241 0.028 0.421 1
Na2 0.241 0.472 0.921 1
Na3 0.249 0.016 0.874 1
Na4 0.249 0.484 0.374 1
Na5 0.256 0.727 0.658 1
Na6 0.256 0.773 0.158 1
Na7 0.744 0.227 0.842 1
Na8 0.744 0.273 0.342 1
Na9 0.751 0.516 0.626 1
Na10 0.751 0.984 0.126 1
Na11 0.759 0.528 0.079 1
Na12 0.759 0.972 0.579 1
As1 0.239 0.235 0.131 1
As2 0.239 0.265 0.631 1
As3 0.761 0.735 0.369 1
As4 0.761 0.765 0.869 1
P1 0.013 0.749 0.313 1
P2 0.013 0.751 0.813 1
P3 0.444 0.047 0.229 1
P4 0.444 0.453 0.729 1
P5 0.556 0.547 0.271 1
P6 0.556 0.953 0.771 1
P7 0.987 0.249 0.187 1
P8 0.987 0.251 0.687 1
# space-group type	P2_1/c (14)
# energy of formation	-1.535	eV per formula unit

---

Record 3
# GGA-PBE Pr3Ga5Bi12, relaxed
data_Pr3Ga5Bi12
_symmetry_space_group_name_H-M 'P 1'
_symmetry_Int_Tables_number 1
_cell_length_a 15.499
_cell_length_b 15.499
_cell_length_c 15.499
_cell_angle_alpha 109.47
_cell_angle_beta 109.47
_cell_angle_gamma 109.47
loop_
_symmetry_equiv_pos_as_xyz
'x,y,z'
loop_
_atom_site_label
_atom_site_fract_x
_atom_site_fract_y
_atom_site_fract_z
_atom_site_occupancy
Pr1 0.125 0.250 0.375 1
Pr2 0.125 0.375 0.750 1
Pr3 0.250 0.375 0.125 1
Pr4 0.250 0.875 0.625 1
Pr5 0.375 0.125 0.250 1
Pr6 0.375 0.750 0.125 1
Pr7 0.625 0.250 0.875 1
Pr8 0.625 0.875 0.750 1
Pr9 0.750 0.125 0.375 1
Pr10 0.750 0.625 0.875 1
Pr11 0.875 0.625 0.250 1
Pr12 0.875 0.750 0.625 1
Ga1 0.000 0.000 0.000 1
Ga2 0.000 0.000 0.500 1
Ga3 0.000 0.500 0.000 1
Ga4 0.000 0.500 0.500 1
Ga5 0.125 0.750 0.875 1
Ga6 0.125 0.875 0.250 1
Ga7 0.250 0.125 0.875 1
Ga8 0.250 0.625 0.375 1
Ga9 0.375 0.250 0.625 1
Ga10 0.375 0.625 0.750 1
Ga11 0.500 0.000 0.000 1
Ga12 0.500 0.000 0.500 1
Ga13 0.500 0.500 0.000 1
Ga14 0.500 0.500 0.500 1
Ga15 0.625 0.375 0.250 1
Ga16 0.625 0.750 0.375 1
Ga17 0.750 0.375 0.625 1
Ga18 0.750 0.875 0.125 1
Ga19 0.875 0.125 0.750 1
Ga20 0.875 0.250 0.125 1
Bi1 0.052 0.231 0.136 1
Bi2 0.052 0.321 0.917 1
Bi3 0.083 0.636 0.405 1
Bi4 0.083 0.948 0.679 1
Bi5 0.095 0.731 0.679 1
Bi6 0.095 0.864 0.417 1
Bi7 0.136 0.052 0.231 1
Bi8 0.136 0.583 0.905 1
Bi9 0.179 0.231 0.595 1
Bi10 0.179 0.448 0.583 1
Bi11 0.231 0.136 0.052 1
Bi12 0.231 0.595 0.179 1
Bi13 0.269 0.321 0.905 1
Bi14 0.269 0.448 0.364 1
Bi15 0.321 0.905 0.269 1
Bi16 0.321 0.917 0.052 1
Bi17 0.364 0.269 0.448 1
Bi18 0.364 0.595 0.917 1
Bi19 0.405 0.083 0.636 1
Bi20 0.405 0.821 0.769 1
Bi21 0.417 0.095 0.864 1
Bi22 0.417 0.821 0.552 1
Bi23 0.448 0.364 0.269 1
Bi24 0.448 0.583 0.179 1
Bi25 0.552 0.417 0.821 1
Bi26 0.552 0.636 0.731 1
Bi27 0.583 0.179 0.448 1
Bi28 0.583 0.905 0.136 1
Bi29 0.595 0.179 0.231 1
Bi30 0.595 0.917 0.364 1
Bi31 0.636 0.405 0.083 1
Bi32 0.636 0.731 0.552 1
Bi33 0.679 0.083 0.948 1
Bi34 0.679 0.095 0.731 1
Bi35 0.731 0.552 0.636 1
Bi36 0.731 0.679 0.095 1
Bi37 0.769 0.405 0.821 1
Bi38 0.769 0.864 0.948 1
Bi39 0.821 0.552 0.417 1
Bi40 0.821 0.769 0.405 1
Bi41 0.864 0.417 0.095 1
Bi42 0.864 0.948 0.769 1
Bi43 0.905 0.136 0.583 1
Bi44 0.905 0.269 0.321 1
Bi45 0.917 0.052 0.321 1
Bi46 0.917 0.364 0.595 1
Bi47 0.948 0.679 0.083 1
Bi48 0.948 0.769 0.864 1
# space-group type	Ia-3d (230)
# energy of formation	-0.189	eV per formula unit

---

Record 4
# GGA-PBE Na3Al5Br12, relaxed
data_Na3Al5Br12
_symmetry_space_group_name_H-M 'P 1'
_symmetry_Int_Tables_number 1
_cell_length_a 15.311
_cell_length_b 15.311
_cell_length_c 15.311
_cell_angle_alpha 109.47
_cell_angle_beta 109.47
_cell_angle_gamma 109.47
loop_
_symmetry_equiv_pos_as_xyz
'x,y,z'
loop_
_atom_site_label
_atom_site_fract_x
_atom_site_fract_y
_atom_site_fract_z
_atom_site_occupancy
Na1 0.125 0.250 0.375 1
Na2 0.125 0.375 0.750 1
Na3 0.250 0.375 0.125 1
Na4 0.250 0.875 0.625 1
Na5 0.375 0.125 0.250 1
Na6 0.375 0.750 0.125 1
Na7 0.625 0.250 0.875 1
Na8 0.625 0.875 0.750 1
Na9 0.750 0.125 0.375 1
Na10 0.750 0.625 0.875 1
Na11 0.875 0.625 0.250 1
Na12 0.875 0.750 0.625 1
Al1 0.000 0.000 0.000 1
Al2 0.000 0.000 0.500 1
Al3 0.000 0.500 0.000 1
Al4 0.000 0.500 0.500 1
Al5 0.125 0.750 0.875 1
Al6 0.125 0.875 0.250 1
Al7 0.250 0.125 0.875 1
Al8 0.250 0.625 0.375 1
Al9 0.375 0.250 0.625 1
Al10 0.375 0.625 0.750 1
Al11 0.500 0.000 0.000 1
Al12 0.500 0.000 0.500 1
Al13 0.500 0.500 0.000 1
Al14 0.500 0.500 0.500 1
Al15 0.625 0.375 0.250 1
Al16 0.625 0.750 0.375 1
Al17 0.750 0.375 0.625 1
Al18 0.750 0.875 0.125 1
Al19 0.875 0.125 0.750 1
Al20 0.875 0.250 0.125 1
Br1 0.020 0.217 0.124 1
Br2 0.020 0.303 0.896 1
Br3 0.093 0.717 0.697 1
Br4 0.093 0.876 0.396 1
Br5 0.104 0.624 0.407 1
Br6 0.104 0.980 0.697 1
Br7 0.124 0.020 0.217 1
Br8 0.124 0.604 0.907 1
Br9 0.197 0.217 0.593 1
Br10 0.197 0.480 0.604 1
Br11 0.217 0.124 0.020 1
Br12 0.217 0.593 0.197 1
Br13 0.283 0.303 0.907 1
Br14 0.283 0.480 0.376 1
Br15 0.303 0.896 0.020 1
Br16 0.303 0.907 0.283 1
Br17 0.376 0.283 0.480 1
Br18 0.376 0.593 0.896 1
Br19 0.396 0.093 0.876 1
Br20 0.396 0.803 0.520 1
Br21 0.407 0.104 0.624 1
Br22 0.407 0.803 0.783 1
Br23 0.480 0.376 0.283 1
Br24 0.480 0.604 0.197 1
Br25 0.520 0.396 0.803 1
Br26 0.520 0.624 0.717 1
Br27 0.593 0.197 0.217 1
Br28 0.593 0.896 0.376 1
Br29 0.604 0.197 0.480 1
Br30 0.604 0.907 0.124 1
Br31 0.624 0.407 0.104 1
Br32 0.624 0.717 0.520 1
Br33 0.697 0.093 0.717 1
Br34 0.697 0.104 0.980 1
Br35 0.717 0.520 0.624 1
Br36 0.717 0.697 0.093 1
Br37 0.783 0.407 0.803 1
Br38 0.783 0.876 0.980 1
Br39 0.803 0.520 0.396 1
Br40 0.803 0.783 0.407 1
Br41 0.876 0.396 0.093 1
Br42 0.876 0.980 0.783 1
Br43 0.896 0.020 0.303 1
Br44 0.896 0.376 0.593 1
Br45 0.907 0.124 0.604 1
Br46 0.907 0.283 0.303 1
Br47 0.980 0.697 0.104 1
Br48 0.980 0.783 0.876 1
# space-group type	Ia-3d (230)
# formation energy from raw total energies	-1609	kJ/mol of formula units

---

Record 5
# GGA-PBE CeY2Fe9, relaxed
data_CeY2Fe9
_symmetry_space_group_name_H-M 'P 1'
_symmetry_Int_Tables_number 1
_cell_length_a 8.708
_cell_length_b 8.708
_cell_length_c 8.708
_cell_angle_alpha 33.93
_cell_angle_beta 33.93
_cell_angle_gamma 33.93
loop_
_symmetry_equiv_pos_as_xyz
'x,y,z'
loop_
_atom_site_label
_atom_site_fract_x
_atom_site_fract_y
_atom_site_fract_z
_atom_site_occupancy
Ce1 0.000 0.000 0.000 1
Y1 0.142 0.142 0.142 1
Y2 0.858 0.858 0.858 1
Fe1 0.084 0.582 0.582 1
Fe2 0.332 0.332 0.332 1
Fe3 0.418 0.418 0.916 1
Fe4 0.418 0.916 0.418 1
Fe5 0.500 0.500 0.500 1
Fe6 0.582 0.084 0.582 1
Fe7 0.582 0.582 0.084 1
Fe8 0.668 0.668 0.668 1
Fe9 0.916 0.418 0.418 1
# space-group type	R-3m (166)
# energy of formation	-0.560	eV per formula unit

---

Record 6
# GGA-PBE PmAl4Pt4, relaxed
data_PmAl4Pt4
_symmetry_space_group_name_H-M 'P 1'
_symmetry_Int_Tables_number 1
_cell_length_a 6.225
_cell_length_b 6.225
_cell_length_c 8.415
_cell_angle_alpha 90.00
_cell_angle_beta 90.00
_cell_angle_gamma 90.00
loop_
_symmetry_equiv_pos_as_xyz
'x,y,z'
loop_
_atom_site_label
_atom_site_fract_x
_atom_site_fract_y
_atom_site_fract_z
_atom_site_occupancy
Pm1 0.250 0.750 0.250 1
Pm2 0.750 0.250 0.750 1
Al1 0.015 0.250 0.144 1
Al2 0.250 0.015 0.644 1
Al3 0.250 0.485 0.644 1
Al4 0.485 0.250 0.144 1
Al5 0.515 0.750 0.856 1
Al6 0.750 0.515 0.356 1
Al7 0.750 0.985 0.356 1
Al8 0.985 0.750 0.856 1
Pt1 0.030 0.250 0.446 1
Pt2 0.250 0.030 0.946 1
Pt3 0.250 0.470 0.946 1
Pt4 0.470 0.250 0.446 1
Pt5 0.530 0.750 0.554 1
Pt6 0.750 0.530 0.054 1
Pt7 0.750 0.970 0.054 1
Pt8 0.970 0.750 0.554 1
# space-group type	P4_2/nmc (137)
# energy of formation	-8.559	eV per formula unit

---

Record 7
# GGA-PBE BaHg2PSe, relaxed
data_BaHg2PSe
_symmetry_space_group_name_H-M 'P 1'
_symmetry_Int_Tables_number 1
_cell_length_a 5.247
_cell_length_b 5.247
_cell_length_c 5.615
_cell_angle_alpha 90.00
_cell_angle_beta 90.00
_cell_angle_gamma 90.00
loop_
_symmetry_equiv_pos_as_xyz
'x,y,z'
loop_
_atom_site_label
_atom_site_fract_x
_atom_site_fract_y
_atom_site_fract_z
_atom_site_occupancy
Ba1 0.000 0.000 0.000 1
Hg1 0.000 0.500 0.500 1
Hg2 0.500 0.000 0.500 1
P1 0.500 0.500 0.000 1
Se1 0.500 0.500 0.500 1
# space-group type	P4/mmm (123)
# formation energy from raw total energies	-10	kJ/mol of formula units

---

Record 8
# GGA-PBE CaAcGe2Pd2, relaxed
data_CaAcGe2Pd2
_symmetry_space_group_name_H-M 'P 1'
_symmetry_Int_Tables_number 1
_cell_length_a 4.347
_cell_length_b 4.347
_cell_length_c 8.634
_cell_angle_alpha 90.00
_cell_angle_beta 90.00
_cell_angle_gamma 120.00
loop_
_symmetry_equiv_pos_as_xyz
'x,y,z'
loop_
_atom_site_label
_atom_site_fract_x
_atom_site_fract_y
_atom_site_fract_z
_atom_site_occupancy
Ca1 0.000 0.000 0.000 1
Ac1 0.000 0.000 0.500 1
Ge1 0.333 0.667 0.756 1
Ge2 0.667 0.333 0.244 1
Pd1 0.333 0.667 0.229 1
Pd2 0.667 0.333 0.771 1
# space-group type	P-3m1 (164)
# energy of formation	-4.780	eV per formula unit

---

Which final energy belongs to each record? In order, -0.161 -0.257 -0.280 -0.218 -0.585 -0.428 -0.169 -0.374 Ry per atom.